Entry 1:
Density functional theory data (PBE-GGA) for an optimized crystal structure of RbAlRe2.

Structure (POSCAR):
```
RbAlRe2
1.0
4.783 0.000 0.000
0.000 4.783 0.000
2.391 2.391 9.344
Re Al Rb
4 2 2
direct
0.875 0.586 0.750
0.336 0.125 0.250
0.414 0.625 0.250
0.375 0.664 0.750
0.250 0.750 0.500
0.500 0.500 0.000
0.750 0.250 0.500
0.000 0.000 0.000
```

Total magnetization: 0.00 μB per formula unit
DFT formation energy: 1.46 eV/atom
Mass density: 7.53 g/cm3
Symmetry: No. 122

---

Entry 2:
Density functional theory data (PBE-GGA) for an optimized crystal structure of Pm2Cu2Au.

Structure (POSCAR):
```
Pm2Cu2Au
1.0
-5.380 -5.041 -1.070
1.193 -2.724 6.831
-5.237 4.974 2.898
Pm Au Cu
8 4 8
direct
0.320 0.180 0.500
0.820 0.320 0.000
0.680 0.820 0.000
0.680 0.820 0.500
0.180 0.680 0.500
0.180 0.680 0.000
0.320 0.180 0.000
0.820 0.320 0.500
0.000 0.000 0.750
0.000 0.000 0.250
0.500 0.500 0.750
0.500 0.500 0.250
0.383 0.883 0.750
0.617 0.117 0.750
0.617 0.117 0.250
0.383 0.883 0.250
0.117 0.383 0.750
0.117 0.383 0.250
0.883 0.617 0.250
0.883 0.617 0.750
```

Total magnetization: 0.00 μB per formula unit
DFT formation energy: -0.39 eV/atom
Mass density: 9.44 g/cm3
Symmetry: No. 127

---

Entry 3:
Density functional theory data (PBE-GGA) for an optimized crystal structure of KCd2TePt.

Structure (POSCAR):
```
KCd2TePt
1.0
-1.320 -3.263 3.911
5.022 -0.157 1.564
-0.909 4.393 3.359
Cd K Pt Te
2 1 1 1
direct
0.500 0.000 0.000
0.000 0.500 0.000
0.500 0.500 0.500
0.000 0.000 0.000
0.000 0.000 0.500
```

Total magnetization: 0.00 μB per formula unit
Mass density: 6.28 g/cm3
Symmetry: No. 123
Formation energy without anion corrections: -0.306 eV/atom

---

Entry 4:
Density functional theory data (PBE-GGA) for an optimized crystal structure of KTb4SmS8.

Structure (POSCAR):
```
KTb4SmS8
1.0
-7.367 -3.098 -2.047
-0.508 -7.429 -3.552
-3.111 -6.411 4.271
S Tb Sm K
8 4 1 1
direct
0.755 0.229 0.260
0.757 0.757 0.728
0.229 0.755 0.260
0.236 0.798 0.729
0.233 0.233 0.301
0.798 0.236 0.729
0.755 0.755 0.260
0.236 0.236 0.729
0.625 0.625 0.124
0.487 0.004 0.504
0.004 0.004 0.504
0.004 0.487 0.504
0.004 0.004 0.987
0.373 0.373 0.881
```

Total magnetization: 0.00 μB per formula unit
Mass density: 4.48 g/cm3
Symmetry: No. 160
Formation energy without anion corrections: -1.931 eV/atom

---

Entry 5:
Density functional theory data (PBE-GGA) for an optimized crystal structure of Nd2PuFe2.

Structure (POSCAR):
```
Nd2PuFe2
1.0
5.726 0.043 0.811
2.553 5.126 0.811
-0.023 -0.014 7.631
Nd Fe Pu
4 4 2
direct
0.765 0.542 0.348
0.458 0.235 0.152
0.235 0.458 0.652
0.542 0.765 0.848
0.002 0.233 0.989
0.767 0.998 0.511
0.998 0.767 0.011
0.233 0.002 0.489
0.896 0.104 0.750
0.104 0.896 0.250
```

Total magnetization: 2.76 μB per formula unit
DFT formation energy: 0.01 eV/atom
Mass density: 9.58 g/cm3
Symmetry: No. 15

---

Entry 6:
Density functional theory data (PBE-GGA) for an optimized crystal structure of Pm3Ni3Sn4.

Structure (POSCAR):
```
Pm3Ni3Sn4
1.0
8.362 0.000 0.000
-2.787 7.884 0.000
-2.787 -3.942 6.828
Ni Pm Sn
6 6 8
direct
0.750 0.125 0.875
0.125 0.750 0.375
0.250 0.375 0.625
0.875 0.625 0.750
0.375 0.250 0.125
0.625 0.875 0.250
0.375 0.125 0.750
0.625 0.750 0.875
0.125 0.375 0.250
0.875 0.250 0.625
0.250 0.875 0.125
0.750 0.625 0.375
0.350 0.500 0.000
0.000 0.000 0.850
0.000 0.000 0.350
0.500 0.350 0.500
0.650 0.150 0.150
0.500 0.850 0.500
0.850 0.500 0.000
0.150 0.650 0.650
```

Total magnetization: 0.00 μB per formula unit
DFT formation energy: -0.58 eV/atom
Mass density: 8.01 g/cm3
Symmetry: No. 220

---

Entry 7:
Density functional theory data (PBE-GGA) for an optimized crystal structure of Na2Sn2Br.

Structure (POSCAR):
```
Na2Sn2Br
1.0
-5.786 -6.728 -1.445
1.754 -3.268 8.190
-2.834 2.125 1.455
Na Sn Br
4 4 2
direct
0.195 0.305 0.000
0.305 0.805 0.000
0.695 0.195 0.000
0.805 0.695 0.000
0.893 0.393 0.500
0.107 0.607 0.500
0.607 0.893 0.500
0.393 0.107 0.500
0.500 0.500 0.000
0.000 0.000 0.000
```

Total magnetization: 0.00 μB per formula unit
Mass density: 3.90 g/cm3
Symmetry: No. 127
Formation energy without anion corrections: -0.265 eV/atom

---

Entry 8:
Density functional theory data (PBE-GGA) for an optimized crystal structure of Ac2PCl.

Structure (POSCAR):
```
Ac2PCl
1.0
-4.026 -0.605 -1.385
-0.708 -1.942 -3.771
-1.775 -7.722 1.858
Ac Cl P
2 1 1
direct
0.262 0.262 0.215
0.072 0.072 0.785
0.499 0.499 0.504
0.668 0.668 0.996
```

Total magnetization: 0.00 μB per formula unit
Mass density: 6.96 g/cm3
Symmetry: No. 160
Formation energy without anion corrections: -1.525 eV/atom

---

Entry 9:
Density functional theory data (PBE-GGA) for an optimized crystal structure of RbCuSnS3.

Structure (POSCAR):
```
RbCuSnS3
1.0
-2.811 3.725 -6.414
-7.101 0.633 3.479
3.009 18.931 7.221
S Sn Cu Rb
24 8 8 8
direct
0.673 0.538 0.310
0.536 0.172 0.813
0.538 0.673 0.810
0.327 0.462 0.690
0.673 0.057 0.310
0.237 0.610 0.052
0.828 0.464 0.687
0.610 0.237 0.552
0.828 0.943 0.687
0.763 0.886 0.948
0.057 0.172 0.813
0.114 0.237 0.552
0.057 0.673 0.810
0.327 0.943 0.690
0.172 0.536 0.313
0.237 0.114 0.052
0.464 0.828 0.187
0.763 0.390 0.948
0.886 0.763 0.448
0.943 0.828 0.187
0.462 0.327 0.190
0.390 0.763 0.448
0.943 0.327 0.190
0.172 0.057 0.313
0.782 0.657 0.871
0.157 0.782 0.372
0.843 0.218 0.628
0.343 0.218 0.629
0.657 0.782 0.371
0.218 0.343 0.129
0.218 0.843 0.128
0.782 0.157 0.872
0.564 0.939 0.750
0.436 0.061 0.250
0.061 0.436 0.750
0.061 0.939 0.750
0.939 0.061 0.250
0.436 0.564 0.250
0.564 0.436 0.750
0.939 0.564 0.250
0.399 0.273 0.408
0.727 0.103 0.092
0.273 0.897 0.908
0.601 0.727 0.592
0.727 0.601 0.092
0.897 0.273 0.408
0.273 0.399 0.908
0.103 0.727 0.592
```

Total magnetization: 0.00 μB per formula unit
Mass density: 3.79 g/cm3
Symmetry: No. 15
Formation energy without anion corrections: -0.644 eV/atom

---

Entry 10:
Density functional theory data (PBE-GGA) for an optimized crystal structure of CeThPd.

Structure (POSCAR):
```
CeThPd
1.0
-0.721 -1.150 3.510
1.519 -4.393 -1.128
3.087 3.236 1.695
Pd Th Ce
1 1 1
direct
0.340 0.333 0.667
0.652 0.667 0.333
0.008 0.000 0.000
```

Total magnetization: 0.00 μB per formula unit
DFT formation energy: -0.30 eV/atom
Mass density: 10.66 g/cm3
Symmetry: No. 156

---

Entry 11:
Density functional theory data (PBE-GGA) for an optimized crystal structure of BaNdCu2Se4.

Structure (POSCAR):
```
BaNdCu2Se4
1.0
-1.007 -6.257 -3.080
3.654 -2.071 -5.049
3.805 -5.202 1.262
Se Nd Ba Cu
4 1 1 2
direct
0.507 0.493 0.942
0.058 0.942 0.493
0.942 0.507 0.058
0.493 0.058 0.507
0.500 0.500 0.500
0.000 0.000 0.000
0.250 0.250 0.250
0.750 0.750 0.750
```

Total magnetization: 0.00 μB per formula unit
Mass density: 5.66 g/cm3
Symmetry: No. 121
Formation energy without anion corrections: -1.034 eV/atom

---

Entry 12:
Density functional theory data (PBE-GGA) for an optimized crystal structure of CdBP.

Structure (POSCAR):
```
CdBP
1.0
3.221 0.000 0.000
-1.610 2.789 0.000
0.000 0.000 31.858
P B Cd
6 6 6
direct
0.333 0.667 0.881
0.000 0.000 0.214
0.333 0.667 0.453
0.667 0.333 0.119
0.000 0.000 0.786
0.667 0.333 0.547
0.000 0.000 0.471
0.333 0.667 0.195
0.333 0.667 0.138
0.667 0.333 0.862
0.667 0.333 0.805
0.000 0.000 0.529
0.000 0.000 0.295
0.000 0.000 0.705
0.667 0.333 0.038
0.667 0.333 0.628
0.333 0.667 0.372
0.333 0.667 0.962
```

Total magnetization: 0.00 μB per formula unit
DFT formation energy: -0.12 eV/atom
Mass density: 5.37 g/cm3
Symmetry: No. 166